1.
First-principles (PBE) data for a relaxed Cd3Hg6Bi2 crystal, as listed in Alexandria.

## Properties
As for the volume: 318 Å³ per cell. The density of states at the Fermi level is 4.20 states/eV/cell. The calculation puts the calculated total energy at -11.4 eV for the cell shown. The calculation puts the total magnetic moment at 0.000 μB/f.u. The value obtained for the formation energy is 85 meV per atom.

Unit cell a=6.1409 b=6.1410 c=14.0150 alpha=56.16 beta=56.16 gamma=91.50
Element x y z (fractional)
Cd 0.0000 0.0000 0.0000
Cd 0.7170 0.7170 0.3219
Cd 0.2830 0.2830 0.6781
Hg 0.1623 0.6733 0.7863
Hg 0.6733 0.1623 0.7863
Hg 0.8377 0.3267 0.2137
Hg 0.3267 0.8377 0.2137
Hg 0.8190 0.8190 0.5000
Hg 0.1810 0.1810 0.5000
Bi 0.4261 0.4261 0.1461
Bi 0.5739 0.5739 0.8540

***

2.
First-principles (PBE) data for a relaxed Zr4Ta crystal, as listed in Alexandria.

## Properties
As for the volume: 111 Å³ per cell. Its energy above the most stable polymorph in this dataset is 0.000 eV/atom. The density of states at the Fermi level is 6.55 states/eV/cell. The calculation puts the calculated total energy at -45.4 eV for the cell shown. The calculation puts the total magnetic moment at 0.000 μB/f.u. The value obtained for the formation energy is 135 meV per atom.

Unit cell a=5.4688 b=5.4688 c=5.4688 alpha=99.45 beta=99.45 gamma=132.19
Element x y z (fractional)
Zr 0.7944 0.6014 0.3958
Zr 0.2056 0.3986 0.6042
Zr 0.6014 0.2056 0.8071
Zr 0.3986 0.7944 0.1929
Ta 0.0000 0.0000 0.0000

***

The highest density of states at the Fermi level belongs to which entry?
Zr4Ta